VASP calculation (GGA-PBE) on a geometry-optimized TiBi3Pt structure.

energy relative to the lowest polymorph listed for this composition	0	meV/atom
energy relative to the elements	585	meV per atom

Cell: 5.287 5.287 5.287 Å, 90.00 90.00 90.00°
Space group Pm-3m (No. 221)
Asymmetric unit:
Ti: 0.000 0.000 0.000
Bi: 0.000 0.000 0.500
Pt: 0.500 0.500 0.500

VASP calculation (GGA-PBE) on a geometry-optimized Ti2BiPt2 structure.

energy relative to the lowest polymorph listed for this composition	91	meV/atom
energy relative to the elements	-512	meV per atom

Cell: 7.691 7.691 3.142 Å, 90.00 90.00 90.00°
Space group P4/mbm (No. 127)
Asymmetric unit:
Ti: 0.154 0.346 0.000
Bi: 0.000 0.000 0.000
Pt: 0.132 0.632 0.500

VASP calculation (GGA-PBE) on a geometry-optimized TiTlBiPt2 structure.

energy relative to the elements	1233	meV per atom

Cell: 5.012 5.012 5.591 Å, 90.00 90.00 90.00°
Space group P4/mmm (No. 123)
Asymmetric unit:
Ti: 0.000 0.000 0.000
Tl: 0.500 0.500 0.500
Bi: 0.500 0.500 0.000
Pt: 0.000 0.500 0.500

VASP calculation (GGA-PBE) on a geometry-optimized Ti2VBiPt structure.

energy relative to the elements	324	meV per atom

Cell: 4.839 4.839 4.727 Å, 90.00 90.00 90.00°
Space group P4/mmm (No. 123)
Asymmetric unit:
Ti: 0.000 0.500 0.000
V: 0.000 0.000 0.500
Bi: 0.500 0.500 0.500
Pt: 0.000 0.000 0.000

VASP calculation (GGA-PBE) on a geometry-optimized TlBi3Pt structure.

energy relative to the lowest polymorph listed for this composition	365	meV/atom
energy relative to the elements	236	meV per atom

Cell: 5.542 5.542 5.542 Å, 90.00 90.00 90.00°
Space group Pm-3m (No. 221)
Asymmetric unit:
Tl: 0.000 0.000 0.000
Bi: 0.000 0.500 0.500
Pt: 0.500 0.500 0.500

VASP calculation (GGA-PBE) on a geometry-optimized TlBi2Pt2 structure.

energy relative to the lowest polymorph listed for this composition	193	meV/atom
energy relative to the elements	15	meV per atom

Cell: 8.592 8.592 3.279 Å, 90.00 90.00 90.00°
Space group P4/mbm (No. 127)
Asymmetric unit:
Tl: 0.000 0.000 0.000
Bi: 0.143 0.357 0.000
Pt: 0.147 0.647 0.500

VASP calculation (GGA-PBE) on a geometry-optimized Tl2BiPt structure.

energy relative to the lowest polymorph listed for this composition	0	meV/atom
energy relative to the elements	104	meV per atom

Cell: 3.5948 3.5948 30.1088 Å, 90.00 90.00 120.00°
Space group R-3m (No. 166, hexagonal axes)
Asymmetric unit:
Tl: 0.0000 0.0000 0.1041
Bi: 0.0000 0.0000 0.0000
Pt: 0.0000 0.0000 0.5000

VASP calculation (GGA-PBE) on a geometry-optimized TlBi3Pt structure.

energy relative to the lowest polymorph listed for this composition	0	meV/atom
energy relative to the elements	-129	meV per atom

Cell: 12.932 4.388 10.745 Å, 90.00 98.22 90.00°
Space group C2/m (No. 12)
Asymmetric unit:
Tl: 0.158 0.000 0.101
Bi: 0.064 0.000 0.648
Bi: 0.067 0.500 0.865
Bi: 0.169 0.500 0.391
Pt: 0.205 0.500 0.660

VASP calculation (GGA-PBE) on a geometry-optimized TlBiPt2 structure.

energy relative to the elements	-68	meV per atom

Cell: 3.729 8.111 6.944 Å, 90.00 104.43 90.00°
Space group P2_1/m (No. 11)
Asymmetric unit:
Tl: 0.152 0.250 0.302
Bi: 0.413 0.250 0.850
Pt: 0.197 0.582 0.386

VASP calculation (GGA-PBE) on a geometry-optimized TlBiPt structure.

energy relative to the lowest polymorph listed for this composition	0	meV/atom
energy relative to the elements	-131	meV per atom

Cell: 6.779 6.779 6.779 Å, 90.00 90.00 90.00°
Space group F-43m (No. 216)
Asymmetric unit:
Tl: 0.000 0.000 0.000
Bi: 0.000 0.000 0.500
Pt: 0.250 0.250 0.750

VASP calculation (GGA-PBE) on a geometry-optimized TlBi2Pt structure.

energy relative to the lowest polymorph listed for this composition	4	meV/atom
energy relative to the elements	-162	meV per atom

Cell: 13.371 3.997 8.465 Å, 90.00 91.45 90.00°
Space group C2/m (No. 12)
Asymmetric unit:
Tl: 0.130 0.000 0.463
Bi: 0.031 0.500 0.809
Bi: 0.234 0.500 0.170
Pt: 0.101 0.000 0.055

VASP calculation (GGA-PBE) on a geometry-optimized TlBi2Pt2 structure.

energy relative to the lowest polymorph listed for this composition	103	meV/atom
energy relative to the elements	-74	meV per atom

Cell: 5.087 5.087 10.164 Å, 90.00 90.00 90.00°
Space group I4/mmm (No. 139)
Asymmetric unit:
Tl: 0.000 0.000 0.000
Bi: 0.000 0.500 0.250
Pt: 0.000 0.000 0.370

VASP calculation (GGA-PBE) on a geometry-optimized TlBi2Pt2 structure.

energy relative to the lowest polymorph listed for this composition	111	meV/atom
energy relative to the elements	-67	meV per atom

Cell: 7.998 7.998 3.698 Å, 90.00 90.00 90.00°
Space group P4/mbm (No. 127)
Asymmetric unit:
Tl: 0.000 0.000 0.000
Bi: 0.160 0.340 0.500
Pt: 0.129 0.629 0.000

VASP calculation (GGA-PBE) on a geometry-optimized TlBi2Pt structure.

energy relative to the lowest polymorph listed for this composition	23	meV/atom
energy relative to the elements	-144	meV per atom

Cell: 4.277 8.450 6.467 Å, 90.00 109.19 90.00°
Space group P2_1/m (No. 11)
Asymmetric unit:
Tl: 0.068 0.250 0.134
Bi: 0.351 0.050 0.704
Pt: 0.235 0.750 0.468

VASP calculation (GGA-PBE) on a geometry-optimized TlBi2Pt structure.

energy relative to the lowest polymorph listed for this composition	31	meV/atom
energy relative to the elements	-135	meV per atom

Cell: 4.2882 4.2882 22.3646 Å, 90.00 90.00 120.00°
Space group R-3m (No. 166, hexagonal axes)
Asymmetric unit:
Tl: 0.0000 0.0000 0.0000
Bi: 0.0000 0.0000 0.2261
Pt: 0.0000 0.0000 0.5000

VASP calculation (GGA-PBE) on a geometry-optimized TlBi2Pt structure.

energy relative to the lowest polymorph listed for this composition	277	meV/atom
energy relative to the elements	110	meV per atom

Cell: 6.548 6.548 13.734 Å, 90.00 90.00 90.00°
Space group I-42d (No. 122)
Asymmetric unit:
Tl: 0.000 0.000 0.000
Bi: 0.189 0.250 0.625
Pt: 0.000 0.000 0.500

VASP calculation (GGA-PBE) on a geometry-optimized TlBi12Pt4 structure.

energy relative to the elements	-179	meV per atom

Cell: 10.016 10.016 10.016 Å, 90.00 90.00 90.00°
Space group Im-3 (No. 204)
Asymmetric unit:
Tl: 0.000 0.000 0.000
Bi: 0.000 0.158 0.338
Pt: 0.250 0.250 0.250

VASP calculation (GGA-PBE) on a geometry-optimized TlBi3Pt structure.

energy relative to the lowest polymorph listed for this composition	30	meV/atom
energy relative to the elements	-100	meV per atom

Cell: 9.259 6.836 9.858 Å, 90.00 102.10 90.00°
Space group P2_1/c (No. 14)
Asymmetric unit:
Tl: 0.066 0.012 0.179
Bi: 0.179 0.014 0.590
Bi: 0.310 0.097 0.928
Bi: 0.409 0.565 0.821
Pt: 0.407 0.748 0.571

VASP calculation (GGA-PBE) on a geometry-optimized TlBi2Pt structure.

energy relative to the lowest polymorph listed for this composition	0	meV/atom
energy relative to the elements	-167	meV per atom

Cell: 4.3381 4.3381 22.5000 Å, 90.00 90.00 120.00°
Space group R3m (No. 160, hexagonal axes)
Asymmetric unit:
Tl: 0.0000 0.0000 0.0000
Bi: 0.0000 0.0000 0.2297
Bi: 0.0000 0.0000 0.4496
Pt: 0.0000 0.0000 0.8404

VASP calculation (GGA-PBE) on a geometry-optimized TlBi2Pt2 structure.

energy relative to the lowest polymorph listed for this composition	0	meV/atom
energy relative to the elements	-178	meV per atom

Cell: 5.753 4.224 10.363 Å, 90.00 95.20 90.00°
Space group P2_1/m (No. 11)
Asymmetric unit:
Tl: 0.101 0.250 0.289
Bi: 0.253 0.250 0.953
Bi: 0.406 0.250 0.629
Pt: 0.177 0.750 0.497
Pt: 0.253 0.750 0.129

VASP calculation (GGA-PBE) on a geometry-optimized TlBiPt4 structure.

energy relative to the elements	-86	meV per atom

Cell: 7.740 7.740 7.740 Å, 90.00 90.00 90.00°
Space group F-43m (No. 216)
Asymmetric unit:
Tl: 0.000 0.000 0.000
Bi: 0.250 0.250 0.250
Pt: 0.125 0.125 0.625

VASP calculation (GGA-PBE) on a geometry-optimized TlBi2Pt structure.

energy relative to the lowest polymorph listed for this composition	328	meV/atom
energy relative to the elements	162	meV per atom

Cell: 7.416 7.416 7.416 Å, 90.00 90.00 90.00°
Space group Fm-3m (No. 225)
Asymmetric unit:
Tl: 0.000 0.000 0.000
Bi: 0.250 0.250 0.250
Pt: 0.000 0.000 0.500

VASP calculation (GGA-PBE) on a geometry-optimized TlBiPt structure.

energy relative to the lowest polymorph listed for this composition	78	meV/atom
energy relative to the elements	-53	meV per atom

Cell: 3.471 3.471 13.068 Å, 90.00 90.00 90.00°
Space group I4mm (No. 107)
Asymmetric unit:
Tl: 0.000 0.000 0.000
Bi: 0.000 0.000 0.734
Pt: 0.000 0.000 0.346

VASP calculation (GGA-PBE) on a geometry-optimized TlBiPt structure.

energy relative to the lowest polymorph listed for this composition	36	meV/atom
energy relative to the elements	-96	meV per atom

Cell: 3.9656 3.9656 5.9678 Å, 90.00 90.00 120.00°
Space group P3m1 (No. 156)
Asymmetric unit:
Tl: 0.0000 0.0000 0.0000
Bi: 0.3333 0.6667 0.4496
Pt: 0.6667 0.3333 0.7045

VASP calculation (GGA-PBE) on a geometry-optimized TlBiPt structure.

energy relative to the lowest polymorph listed for this composition	9	meV/atom
energy relative to the elements	-122	meV per atom

Cell: 4.025 5.797 7.277 Å, 80.32 74.35 70.83°
Space group P-1 (No. 2)
Asymmetric unit:
Tl: 0.178 0.233 0.418
Bi: 0.421 0.296 0.853
Pt: 0.159 0.812 0.875

VASP calculation (GGA-PBE) on a geometry-optimized TlBi2Pt2 structure.

energy relative to the lowest polymorph listed for this composition	15	meV/atom
energy relative to the elements	-163	meV per atom

Cell: 12.192 4.441 4.936 Å, 90.00 101.31 90.00°
Space group C2/m (No. 12)
Asymmetric unit:
Tl: 0.000 0.000 0.000
Bi: 0.140 0.500 0.528
Pt: 0.212 0.000 0.847